No. 1
# Dy3In3Ni2Ag, optimized geometry, DFT GGA-PBE
data_Dy3In3Ni2Ag
_cell_length_a 7.476
_cell_length_b 7.476
_cell_length_c 3.946
_cell_angle_alpha 90.00
_cell_angle_beta 90.00
_cell_angle_gamma 120.00
_symmetry_space_group_name_H-M 'P 1'
_symmetry_Int_Tables_number 1
_symmetry_space_group_name_Hall 'P 1'
loop_
_atom_site_label
_atom_site_fract_x
_atom_site_fract_y
_atom_site_fract_z
_atom_site_occupancy
Dy1 0.000 0.582 0.000 1
Dy2 0.418 0.418 0.000 1
Dy3 0.582 0.000 0.000 1
In1 0.000 0.267 0.500 1
In2 0.267 0.000 0.500 1
In3 0.733 0.733 0.500 1
Ni1 0.333 0.667 0.500 1
Ni2 0.667 0.333 0.500 1
Ag1 0.000 0.000 0.000 1
# Energy in eV/atom: -4.459

=====

No. 2
# HfZn, optimized geometry, DFT GGA-PBE
data_HfZn
_cell_length_a 5.962
_cell_length_b 5.962
_cell_length_c 5.962
_cell_angle_alpha 90.00
_cell_angle_beta 90.00
_cell_angle_gamma 90.00
_symmetry_space_group_name_H-M 'P 1'
_symmetry_Int_Tables_number 1
_symmetry_space_group_name_Hall 'P 1'
loop_
_atom_site_label
_atom_site_fract_x
_atom_site_fract_y
_atom_site_fract_z
_atom_site_occupancy
Hf1 0.000 0.000 0.000 1
Hf2 0.000 0.500 0.500 1
Hf3 0.500 0.000 0.500 1
Hf4 0.500 0.500 0.000 1
Zn1 0.250 0.250 0.750 1
Zn2 0.250 0.750 0.250 1
Zn3 0.750 0.250 0.250 1
Zn4 0.750 0.750 0.750 1
# Energy relative to the elements in eV per atom: 1.280

=====

No. 3
# LiNpMo, optimized geometry, DFT GGA-PBE
data_LiNpMo
_cell_length_a 6.074
_cell_length_b 6.074
_cell_length_c 6.074
_cell_angle_alpha 90.00
_cell_angle_beta 90.00
_cell_angle_gamma 90.00
_symmetry_space_group_name_H-M 'P 1'
_symmetry_Int_Tables_number 1
_symmetry_space_group_name_Hall 'P 1'
loop_
_atom_site_label
_atom_site_fract_x
_atom_site_fract_y
_atom_site_fract_z
_atom_site_occupancy
Li1 0.000 0.000 0.000 1
Li2 0.000 0.500 0.500 1
Li3 0.500 0.000 0.500 1
Li4 0.500 0.500 0.000 1
Np1 0.000 0.000 0.500 1
Np2 0.000 0.500 0.000 1
Np3 0.500 0.000 0.000 1
Np4 0.500 0.500 0.500 1
Mo1 0.250 0.250 0.250 1
Mo2 0.250 0.750 0.750 1
Mo3 0.750 0.250 0.750 1
Mo4 0.750 0.750 0.250 1
# Energy in eV/atom: -7.589